Entry from Alexandria via LeMat-Bulk: a relaxed structure of Sc3VRu4 (PBE-GGA).

Output
Crystal system = tetragonal
Magnetization = 0.0000 μB per atom
Symmetry = P4/mmm, No. 123
Energy relative to the elements = -0.51 eV/atom

Cell lengths 3.1360, 3.1360, 12.8330 Å; angles 90.00, 90.00, 90.00 degrees
Positions (direct):
Ru1 0.0000 0.0000 0.6288
Ru2 0.0000 0.0000 0.8891
Ru3 0.0000 0.0000 0.1109
Ru4 0.0000 0.0000 0.3712
Sc1 0.5000 0.5000 0.7516
Sc2 0.5000 0.5000 0.5000
Sc3 0.5000 0.5000 0.2484
V1 0.5000 0.5000 0.0000